No. 1
Density functional theory data (PBE-GGA) for a relaxed structure of Ac4NdTh3Sb8.

Results
Formation energy without anion corrections (eV/atom): -1.102
Space-group type: R-3m, No. 166

a = 9.2705 Å, b = 9.3192 Å, c = 9.2709 Å
α = 119.82°, β = 120.00°, γ = 90.00°
Fractional positions:
Ac (0.5000, 0.0000, 0.0000)
Ac (0.5000, 0.0000, 0.5000)
Ac (0.0000, 0.0000, 0.0000)
Ac (0.0000, 0.0000, 0.5000)
Nd (0.0000, 0.5000, 0.0000)
Th (0.5000, 0.5000, 0.0000)
Th (0.5000, 0.5000, 0.5000)
Th (0.0000, 0.5000, 0.5000)
Sb (0.2450, 0.7330, 0.9880)
Sb (0.2452, 0.7332, 0.4904)
Sb (0.2558, 0.2673, 0.5115)
Sb (0.7430, 0.7330, 0.9880)
Sb (0.2570, 0.2670, 0.0120)
Sb (0.7442, 0.7327, 0.4885)
Sb (0.7548, 0.2668, 0.5096)
Sb (0.7550, 0.2670, 0.0120)


No. 2
Density functional theory data (PBE-GGA) for a relaxed structure of PrHoPt.

Results
Space-group type: F-43m, No. 216
Relative energy among the computed polymorphs (meV/atom): 93.3
Energy of formation from the pure elements (eV per atom): -0.769

a = 4.9610 Å, b = 4.9610 Å, c = 4.9610 Å
α = 60.00°, β = 60.00°, γ = 60.00°
Fractional positions:
Pr (0.0000, 0.0000, 0.0000)
Ho (0.5000, 0.5000, 0.5000)
Pt (0.2500, 0.2500, 0.2500)


No. 3
Density functional theory data (PBE-GGA) for a relaxed structure of LaHfAg.

Results
Space-group type: P6_3/mmc, No. 194
Relative energy among the computed polymorphs (meV/atom): 1787.4
Energy of formation from the pure elements (eV per atom): 1.753

a = 4.9590 Å, b = 4.9590 Å, c = 11.4302 Å
α = 90.00°, β = 90.00°, γ = 120.00°
Fractional positions:
Hf (0.0000, 0.0000, 0.0000)
Hf (0.0000, 0.0000, 0.5000)
Ag (0.3333, 0.6667, 0.2500)
Ag (0.6667, 0.3333, 0.7500)
La (0.0000, 0.0000, 0.2500)
La (0.0000, 0.0000, 0.7500)